Record 1
A relaxed structure of LiSm. Source: the Open Quantum Materials Database, functional GGA-PBE.

Lattice parameters (Å, degrees): 4.313 4.313 4.313 60.00 60.00 60.00
Fractional positions:
1 Li 0.000 0.000 0.000
2 Sm 0.500 0.500 0.500

Computed properties:
* excess energy over the best structure of this formula in the dataset: 0.366 eV/atom
* M_tot: 1.22 Bohr magnetons per cell

Record 2
A relaxed structure of GdTm2CuSn3Ir2. Source: the Open Quantum Materials Database, functional GGA-PBE.

Lattice parameters (Å, degrees): 3.849 7.533 7.533 120.31 90.00 90.00
Fractional positions:
1 Gd 0.000 0.000 0.000
2 Tm 0.000 0.404 0.809
3 Tm 0.000 0.809 0.404
4 Cu 0.000 0.406 0.406
5 Sn 0.500 0.143 0.406
6 Sn 0.500 0.406 0.143
7 Sn 0.500 0.665 0.665
8 Ir 0.500 0.072 0.734
9 Ir 0.500 0.734 0.072

Computed properties:
* M_tot: 0.00 Bohr magnetons per cell

Record 3
A relaxed structure of Dy2HoIn3PdPt2. Source: the Open Quantum Materials Database, functional GGA-PBE.

Lattice parameters (Å, degrees): 3.815 7.713 7.713 119.95 90.00 90.00
Fractional positions:
1 Dy 0.000 0.205 0.795
2 Dy 0.000 0.795 0.205
3 Ho 0.000 0.386 0.386
4 In 0.500 0.055 0.055
5 In 0.500 0.535 0.795
6 In 0.500 0.795 0.535
7 Pd 0.000 0.795 0.795
8 Pt 0.500 0.129 0.462
9 Pt 0.500 0.462 0.129

Computed properties:
* M_tot: 0.02 Bohr magnetons per cell

Record 4
A relaxed structure of NaLaCoBi. Source: the Open Quantum Materials Database, functional GGA-PBE.

Lattice parameters (Å, degrees): 5.112 5.112 5.112 60.00 60.00 60.00
Fractional positions:
1 Na 0.000 0.000 0.000
2 La 0.250 0.250 0.250
3 Co 0.750 0.750 0.750
4 Bi 0.500 0.500 0.500

Computed properties:
* excess energy over the best structure of this formula in the dataset: 0.294 eV/atom
* M_tot: 0.25 Bohr magnetons per cell

Record 5
A relaxed structure of NaMg6Cd. Source: the Open Quantum Materials Database, functional GGA-PBE.

Lattice parameters (Å, degrees): 6.467 6.467 5.138 90.00 90.00 120.00
Fractional positions:
1 Na 0.000 0.000 0.000
2 Mg 0.003 0.501 0.000
3 Mg 0.169 0.337 0.500
4 Mg 0.169 0.831 0.500
5 Mg 0.499 0.501 0.000
6 Mg 0.499 0.997 0.000
7 Mg 0.663 0.831 0.500
8 Cd 0.667 0.333 0.500

Record 6
A relaxed structure of LiPrNi. Source: the Open Quantum Materials Database, functional GGA-PBE.

Lattice parameters (Å, degrees): 4.670 4.670 4.670 60.00 60.00 60.00
Fractional positions:
1 Li 0.000 0.000 0.000
2 Pr 0.250 0.250 0.250
3 Ni 0.500 0.500 0.500

Computed properties:
* excess energy over the best structure of this formula in the dataset: 0.167 eV/atom
* M_tot: 0.00 Bohr magnetons per cell

no.,uncorrected energy (eV/f.u.)
1,-5.6
2,-53.6
3,-47.9
4,-16.6
5,-11.3
6,-10.9